Tb3Al3SiNi2: relaxed, GGA-PBE.

Results
excess energy over the best structure of this formula in the dataset: 0 meV/atom

Cell: 7.2390 7.2390 3.7681 Å, 90.00 90.00 120.00°
Last column: nearest neighbours and their distance in Å.
Fractional coordinates of all 9 atoms:
Al 0.2573 0.0000 0.5000  2 Si 2.65, 2 Ni 2.73
Al 0.0000 0.2573 0.5000  2 Si 2.65, 2 Ni 2.73
Al 0.7427 0.7427 0.5000  2 Si 2.65, 2 Ni 2.73
Ni 0.6667 0.3333 0.5000  3 Al 2.73, 6 Tb 2.90
Ni 0.3333 0.6667 0.5000  3 Al 2.73, 6 Tb 2.90
Si 0.0000 0.0000 0.0000  6 Al 2.65, 3 Tb 2.94
Tb 0.5943 0.0000 0.0000  4 Ni 2.90, 1 Si 2.94, 6 Al 3.08-3.19
Tb 0.4057 0.4057 0.0000  4 Ni 2.90, 1 Si 2.94, 6 Al 3.08-3.19
Tb 0.0000 0.5943 0.0000  4 Ni 2.90, 1 Si 2.94, 6 Al 3.08-3.19

***

Tm3Al3SiNi2: relaxed, GGA-PBE.

Results
excess energy over the best structure of this formula in the dataset: 362 meV/atom

Cell: 7.8134 7.8134 3.1068 Å, 90.00 90.00 120.00°
Last column: nearest neighbours and their distance in Å.
Fractional coordinates of all 9 atoms:
Al 0.6301 0.0000 0.5000  1 Si 2.89, 4 Ni 2.92, 6 Tm 3.00-3.09, 2 Al 3.11
Al 0.3699 0.3699 0.5000  1 Si 2.89, 4 Ni 2.92, 6 Tm 3.00-3.09, 2 Al 3.11
Al 0.0000 0.6301 0.5000  1 Si 2.89, 4 Ni 2.92, 6 Tm 3.00-3.09, 2 Al 3.11
Ni 0.6667 0.3333 0.0000  3 Tm 2.73, 6 Al 2.92
Ni 0.3333 0.6667 0.0000  3 Tm 2.73, 6 Al 2.92
Si 0.0000 0.0000 0.5000  6 Tm 2.83, 3 Al 2.89, 2 Si 3.11
Tm 0.3023 0.0000 0.0000  2 Ni 2.73, 2 Si 2.83, 2 Al 3.00
Tm 0.0000 0.3023 0.0000  2 Ni 2.73, 2 Si 2.83, 2 Al 3.00
Tm 0.6977 0.6977 0.0000  2 Ni 2.73, 2 Si 2.83, 2 Al 3.00

***

Tm2AlSiNi: relaxed, GGA-PBE.

Results
final energy: -5.379 eV/atom

Cell: 5.4754 5.4754 5.4754 Å, 136.97 77.51 119.03°
Last column: nearest neighbours and their distance in Å.
Fractional coordinates of all 5 atoms:
Al 0.0074 0.0074 0.0000  2 Ni 2.52, 2 Si 2.58
Ni 0.2821 0.7821 0.5000  1 Si 2.41, 2 Al 2.52
Si 0.7153 0.2153 0.5000  1 Ni 2.41, 2 Al 2.58
Tm 0.7025 0.4976 0.2049  3 Ni 2.92-2.97, 3 Si 2.93-2.97, 3 Al 3.22-3.24
Tm 0.2926 0.4976 0.7951  3 Ni 2.92-2.97, 3 Si 2.93-2.97, 3 Al 3.22-3.24

***

Tm3Al3SiNi2: relaxed, GGA-PBE.

Results
excess energy over the best structure of this formula in the dataset: 0 meV/atom

Cell: 7.1193 7.1193 3.7279 Å, 90.00 90.00 120.00°
Last column: nearest neighbours and their distance in Å.
Fractional coordinates of all 9 atoms:
Al 0.7401 0.0000 0.0000  2 Si 2.63, 2 Ni 2.67
Al 0.2599 0.2599 0.0000  2 Si 2.63, 2 Ni 2.67
Al 0.0000 0.7401 0.0000  2 Si 2.63, 2 Ni 2.67
Ni 0.6667 0.3333 0.0000  3 Al 2.67, 6 Tm 2.85
Ni 0.3333 0.6667 0.0000  3 Al 2.67, 6 Tm 2.85
Si 0.0000 0.0000 0.5000  6 Al 2.63, 3 Tm 2.89
Tm 0.4062 0.0000 0.5000  4 Ni 2.85, 1 Si 2.89, 6 Al 3.02-3.15
Tm 0.0000 0.4062 0.5000  4 Ni 2.85, 1 Si 2.89, 6 Al 3.02-3.15
Tm 0.5938 0.5938 0.5000  4 Ni 2.85, 1 Si 2.89, 6 Al 3.02-3.15